[1]
The following is a DFT calculation (PBE-GGA) of crystalline MnAu2Cl at its relaxed geometry.

abc: 7.977 7.977 7.977
angles: 24.63 24.63 24.63
Site moments in Bohr magnetons follow the coordinates.
Sites, in units of the cell vectors:
Cl 0.250 0.250 0.250  -0.05
Mn 0.750 0.750 0.750  3.82
Au 0.493 0.493 0.493  0.03
Au 0.007 0.007 0.007  0.03

## Properties
E in eV per cell: -17.607
Relative energy among the computed polymorphs in eV per formula unit: 0.62
Mass density in Mg/m³: 10.4

[2]
The following is a DFT calculation (PBE-GGA) of crystalline NdNi6Ge2 at its relaxed geometry.

abc: 4.090 4.090 7.705
angles: 90.00 90.00 90.00
Site moments in Bohr magnetons follow the coordinates.
Sites, in units of the cell vectors:
Ge 0.500 0.500 0.170  0.00
Ge 0.500 0.500 0.830  0.00
Ni 0.000 0.500 0.678  0.13
Ni 0.000 0.000 0.500  0.47
Ni 0.000 0.500 0.322  0.13
Ni 0.500 0.000 0.678  0.13
Ni 0.500 0.000 0.322  0.13
Ni 0.500 0.500 0.500  0.13
Nd 0.000 0.000 0.000  0.02

## Properties
E in eV per cell: -51.395
Mass density in Mg/m³: 8.3

[3]
The following is a DFT calculation (PBE-GGA) of crystalline ZrSb3C at its relaxed geometry.

abc: 5.515 5.515 5.515
angles: 90.00 90.00 90.00
Site moments in Bohr magnetons follow the coordinates.
Sites, in units of the cell vectors:
C 0.500 0.500 0.500  0.98
Sb 0.500 0.000 0.000  0.01
Sb 0.000 0.500 0.000  0.03
Sb 0.000 0.000 0.500  -0.05
Zr 0.000 0.000 0.000  0.09

## Properties
E in eV per cell: -22.267
Relative energy among the computed polymorphs in eV per formula unit: 4.24
Mass density in Mg/m³: 4.6

[4]
The following is a DFT calculation (PBE-GGA) of crystalline TaBrF3 at its relaxed geometry.

abc: 4.150 4.150 4.150
angles: 90.00 90.00 90.00
Sites, in units of the cell vectors:
Ta 0.000 0.000 0.000
F 0.000 0.000 0.500
F 0.000 0.500 0.000
F 0.500 0.000 0.000
Br 0.500 0.500 0.500

## Properties
E in eV per cell: -28.701
Relative energy among the computed polymorphs in eV per formula unit: 0.00
Mass density in Mg/m³: 7.4

[5]
The following is a DFT calculation (PBE-GGA) of crystalline Sc2BiH at its relaxed geometry.

abc: 4.289 4.289 8.047
angles: 90.00 90.00 90.00
Sites, in units of the cell vectors:
H 0.000 0.500 0.921
H 0.500 0.000 0.079
Bi 0.500 0.000 0.711
Bi 0.000 0.500 0.289
Sc 0.000 0.500 0.661
Sc 0.500 0.000 0.339
Sc 0.000 0.000 0.000
Sc 0.500 0.500 0.000

## Properties
E in eV per cell: -44.454
Relative energy among the computed polymorphs in eV per formula unit: 0.00
Mass density in Mg/m³: 6.7

[6]
The following is a DFT calculation (PBE-GGA) of crystalline AgP2Br at its relaxed geometry.

abc: 6.659 6.659 4.699
angles: 90.28 90.28 29.18
Sites, in units of the cell vectors:
Br 0.250 0.250 0.250
Ag 0.750 0.750 0.750
P 0.551 0.551 0.747
P 0.949 0.949 0.753

## Properties
E in eV per cell: -15.104
Relative energy among the computed polymorphs in eV per formula unit: 0.15
Mass density in Mg/m³: 4.1

[7]
The following is a DFT calculation (PBE-GGA) of crystalline CeHoH8Rh2 at its relaxed geometry.

abc: 4.863 4.863 6.543
angles: 68.19 68.19 60.00
Site moments in Bohr magnetons follow the coordinates.
Sites, in units of the cell vectors:
H 0.887 0.554 0.178  0.00
H 0.113 0.446 0.822  0.00
H 0.825 0.825 0.525  0.00
H 0.446 0.620 0.822  0.00
H 0.554 0.380 0.178  0.00
H 0.620 0.113 0.822  0.00
H 0.380 0.887 0.178  0.00
H 0.175 0.175 0.475  0.00
Rh 0.734 0.734 0.798  0.01
Rh 0.266 0.266 0.202  0.01
Ce 0.500 0.500 0.500  0.52
Ho 0.000 0.000 0.000  -0.01

## Properties
E in eV per cell: -55.612
Mass density in Mg/m³: 7.1

[8]
The following is a DFT calculation (PBE-GGA) of crystalline V8Ru at its relaxed geometry.

abc: 2.981 6.541 6.541
angles: 87.02 76.83 76.83
Sites, in units of the cell vectors:
Ru 0.000 0.000 0.000
V 0.667 0.000 0.665
V 0.333 0.000 0.335
V 0.000 0.334 0.666
V 0.000 0.666 0.334
V 0.667 0.665 0.000
V 0.333 0.335 0.000
V 0.666 0.334 0.334
V 0.334 0.666 0.666

## Properties
E in eV per cell: -83.609
Mass density in Mg/m³: 7.0